[1]
Here is crystalline BaCa2YI at its relaxed geometry from Alexandria. Energies are from PBE.

Geometry as POSCAR:
```
BaCa2YI
1.0
-2.4807 4.8602 2.4038
-4.4279 -3.7688 3.0505
3.6376 -0.4685 4.7013
I Ba Ca Y
1 1 2 1
Direct
0.0000 0.0000 0.0000
0.0000 0.5000 0.0000
0.0000 0.0000 0.5000
0.5000 0.0000 0.0000
0.5000 0.5000 0.5000
```

Computed properties:
Formation energy without anion corrections ... 11 kJ/mol of formula units
D(E_F) ... 1.1112 states/eV/atom
Size of the total moment ... 2.2 μB/cell

***

[2]
Here is crystalline BaCa4In4 at its relaxed geometry from Alexandria. Energies are from PBE.

Geometry as POSCAR:
```
BaCa4In4
1.0
-0.0046 4.8224 4.1145
-7.1839 -5.0516 5.9126
7.7768 -4.6586 5.4687
In Ca Ba
8 8 2
Direct
0.1103 0.8412 0.6998
0.8897 0.6998 0.1588
0.6103 0.8002 0.3412
0.1103 0.1588 0.3002
0.6103 0.1998 0.6588
0.3897 0.6588 0.8002
0.8897 0.3002 0.8412
0.3897 0.3412 0.1998
0.8859 0.6079 0.8577
0.8859 0.3921 0.1423
0.6141 0.8921 0.6423
0.3859 0.6423 0.1079
0.1141 0.1423 0.6079
0.6141 0.1079 0.3577
0.3859 0.3577 0.8921
0.1141 0.8577 0.3921
0.5000 0.5000 0.5000
0.0000 0.0000 0.0000
```

Computed properties:
D(E_F) ... 0.8996 states/eV/atom
Energy of formation from the pure elements ... -0.2526 eV/atom
Size of the total moment ... 0.0 μB/cell

***

[3]
Here is crystalline Ba2CaIn3 at its relaxed geometry from Alexandria. Energies are from PBE.

Geometry as POSCAR:
```
Ba2CaIn3
1.0
-4.0031 4.0132 -1.3406
-0.0718 1.0704 -9.2351
-5.7497 -5.9507 -0.6451
Ba In Ca
4 6 2
Direct
0.3371 0.3258 0.5000
0.6629 0.6742 0.5000
0.0000 0.0000 0.0000
0.0000 0.0000 0.5000
0.1764 0.6471 0.7870
0.1764 0.6471 0.2130
0.5000 0.0000 0.2227
0.8236 0.3529 0.2130
0.5000 0.0000 0.7773
0.8236 0.3529 0.7870
0.6646 0.6707 0.0000
0.3354 0.3293 0.0000
```

Computed properties:
D(E_F) ... 0.5680 states/eV/atom
Energy of formation from the pure elements ... -0.4161 eV/atom
Size of the total moment ... 0.0 μB/cell

***

[4]
Here is crystalline BaCaIn2 at its relaxed geometry from Alexandria. Energies are from PBE.

Geometry as POSCAR:
```
BaCaIn2
1.0
4.0644 0.0000 0.0000
0.0000 4.0661 -0.0076
0.0000 4.0885 8.1386
Ba In Ca
1 2 1
Direct
0.5000 0.2500 0.2500
0.0000 0.4566 0.5435
0.0000 0.0434 0.9565
0.5000 0.7500 0.7500
```

Computed properties:
D(E_F) ... 0.5135 states/eV/atom
Energy of formation from the pure elements ... -0.4473 eV/atom
Size of the total moment ... 0.0 μB/cell

***

[5]
Here is crystalline Ba2CaIn2 at its relaxed geometry from Alexandria. Energies are from PBE.

Geometry as POSCAR:
```
Ba2CaIn2
1.0
-2.8763 -3.9690 1.8376
2.7342 -3.3483 -2.9522
4.8965 -4.6225 5.1366
Ba In Ca
2 2 1
Direct
0.7500 0.2500 0.5000
0.2500 0.7500 0.5000
0.5908 0.5908 0.8185
0.4092 0.4092 0.1815
0.0000 0.0000 0.0000
```

Computed properties:
D(E_F) ... 0.3634 states/eV/atom
Energy of formation from the pure elements ... -0.1260 eV/atom
Size of the total moment ... 0.0 μB/cell
Energy above the lowest structure with this stoichiometry ... 223 meV/atom

***

[6]
Here is crystalline BaCa3In at its relaxed geometry from Alexandria. Energies are from PBE.

Geometry as POSCAR:
```
BaCa3In
1.0
-2.5549 1.5228 -5.1217
-0.1579 -5.6961 -1.6148
-5.3409 -0.5600 2.4978
Ca Ba In
3 1 1
Direct
0.0000 0.5000 0.0000
0.0000 0.0000 0.5000
0.5000 0.0000 0.0000
0.0000 0.0000 0.0000
0.5000 0.5000 0.5000
```

Computed properties:
D(E_F) ... 1.3846 states/eV/atom
Energy of formation from the pure elements ... 0.9043 eV/atom
Size of the total moment ... 0.0 μB/cell
Energy above the lowest structure with this stoichiometry ... 973 meV/atom

***

[7]
Here is crystalline Ba4CaIn5 at its relaxed geometry from Alexandria. Energies are from PBE.

Geometry as POSCAR:
```
Ba4CaIn5
1.0
4.1627 0.0000 0.0000
0.0000 4.1627 0.0000
0.0000 0.0000 21.3185
In Ba Ca
5 4 1
Direct
0.5000 0.5000 0.2954
0.5000 0.5000 0.0787
0.5000 0.5000 0.9213
0.5000 0.5000 0.7046
0.5000 0.5000 0.5000
0.0000 0.0000 0.1888
0.0000 0.0000 0.3971
0.0000 0.0000 0.6029
0.0000 0.0000 0.8112
0.0000 0.0000 0.0000
```

Computed properties:
D(E_F) ... 0.7853 states/eV/atom
Energy of formation from the pure elements ... -0.4032 eV/atom
Size of the total moment ... 0.0 μB/cell

***

[8]
Here is crystalline Ba2CaIn at its relaxed geometry from Alexandria. Energies are from PBE.

Geometry as POSCAR:
```
Ba2CaIn
1.0
-7.4164 4.9163 -5.0495
-6.5648 -7.4856 2.3537
-7.9039 0.4775 1.7091
Ba Ca In
4 2 2
Direct
0.8750 0.9211 0.7500
0.6711 0.1250 0.2500
0.0789 0.6250 0.2500
0.3750 0.3289 0.7500
0.2500 0.7500 0.5000
0.5000 0.5000 0.0000
0.0000 0.0000 0.0000
0.7500 0.2500 0.5000
```

Computed properties:
D(E_F) ... 2.1288 states/eV/atom
Energy of formation from the pure elements ... 0.0292 eV/atom
Size of the total moment ... 0.0 μB/cell
Energy above the lowest structure with this stoichiometry ... 275 meV/atom

***

[9]
Here is crystalline BaCa3In at its relaxed geometry from Alexandria. Energies are from PBE.

Geometry as POSCAR:
```
BaCa3In
1.0
6.1402 0.0000 0.0000
0.0000 6.1402 0.0000
0.0000 0.0000 6.1402
Ca Ba In
3 1 1
Direct
0.0000 0.0000 0.5000
0.5000 0.0000 0.0000
0.0000 0.5000 0.0000
0.5000 0.5000 0.5000
0.0000 0.0000 0.0000
```

Computed properties:
D(E_F) ... 0.9310 states/eV/atom
Energy of formation from the pure elements ... -0.0691 eV/atom
Size of the total moment ... 0.0 μB/cell
Energy above the lowest structure with this stoichiometry ... 0 meV/atom

***

[10]
Here is crystalline Ba7CaIn4 at its relaxed geometry from Alexandria. Energies are from PBE.

Geometry as POSCAR:
```
Ba7CaIn4
1.0
6.5036 0.0000 0.0000
3.2518 10.2861 0.0998
3.2518 0.4824 8.0961
Ba In Ca
7 4 1
Direct
0.5000 0.0000 0.0000
0.2215 0.1166 0.4405
0.9245 0.3732 0.7779
0.6814 0.3756 0.2617
0.0755 0.6268 0.2221
0.3186 0.6244 0.7383
0.7785 0.8834 0.5595
0.3228 0.3308 0.0236
0.6772 0.6692 0.9764
0.5497 0.2297 0.6708
0.4503 0.7703 0.3292
0.0000 0.0000 0.0000
```

Computed properties:
D(E_F) ... 1.0845 states/eV/atom
Energy of formation from the pure elements ... -0.1863 eV/atom
Size of the total moment ... 0.0 μB/cell

***

[11]
Here is crystalline Ba3Ca7In4 at its relaxed geometry from Alexandria. Energies are from PBE.

Geometry as POSCAR:
```
Ba3Ca7In4
1.0
5.3037 0.0000 1.3380
2.0414 9.5741 3.0887
0.1086 -0.3067 10.7504
In Ca Ba
4 7 3
Direct
0.3325 0.5685 0.7665
0.8942 0.8845 0.3271
0.1058 0.1155 0.6729
0.6675 0.4315 0.2335
0.4900 0.2329 0.7872
0.8321 0.4182 0.9175
0.5100 0.7671 0.2128
0.6892 0.1486 0.4730
0.3108 0.8514 0.5270
0.1679 0.5818 0.0825
0.0000 0.0000 0.0000
0.0000 0.5000 0.5000
0.3052 0.1791 0.2105
0.6948 0.8209 0.7895
```

Computed properties:
D(E_F) ... 1.3029 states/eV/atom
Energy of formation from the pure elements ... -0.2775 eV/atom
Size of the total moment ... 0.0 μB/cell

***

[12]
Here is crystalline Ba2Ca12In7 at its relaxed geometry from Alexandria. Energies are from PBE.

Geometry as POSCAR:
```
Ba2Ca12In7
1.0
4.2566 0.0000 0.0000
0.0000 12.2860 -7.0933
0.0000 0.0000 14.1867
Ca In Ba
12 7 2
Direct
0.5000 0.8876 0.6049
0.5000 0.3951 0.2827
0.0000 0.9633 0.2305
0.5000 0.2362 0.7980
0.0000 0.0666 0.5549
0.0000 0.7695 0.7328
0.0000 0.4451 0.5117
0.0000 0.2672 0.0367
0.5000 0.7173 0.1124
0.0000 0.4883 0.9334
0.5000 0.5618 0.7638
0.5000 0.2020 0.4382
0.0000 0.7531 0.9577
0.0000 0.2046 0.2469
0.0000 0.3333 0.6667
0.5000 0.6263 0.5323
0.5000 0.4677 0.0940
0.5000 0.9060 0.3737
0.0000 0.0423 0.7954
0.5000 0.0000 0.0000
0.0000 0.6667 0.3333
```

Computed properties:
D(E_F) ... 0.9047 states/eV/atom
Energy of formation from the pure elements ... -0.3434 eV/atom
Size of the total moment ... 0.0 μB/cell

***

[13]
Here is crystalline BaCaIn2 at its relaxed geometry from Alexandria. Energies are from PBE.

Geometry as POSCAR:
```
BaCaIn2
1.0
6.2825 0.0222 0.0000
2.0583 5.9358 0.0000
-4.1704 -2.9790 3.6337
Ca In Ba
1 2 1
Direct
0.7500 0.2500 0.5000
0.2500 0.7500 0.5000
0.0000 0.0000 0.0000
0.5000 0.5000 0.0000
```

Computed properties:
D(E_F) ... 0.8204 states/eV/atom
Energy of formation from the pure elements ... -0.2435 eV/atom
Size of the total moment ... 0.0 μB/cell

***

[14]
Here is crystalline Ba2CaIn6 at its relaxed geometry from Alexandria. Energies are from PBE.

Geometry as POSCAR:
```
Ba2CaIn6
1.0
6.9351 0.0000 0.0000
0.0000 6.0291 -3.4809
0.0000 0.0000 6.9618
In Ca Ba
6 1 2
Direct
0.8452 0.8177 0.6354
0.8452 0.3646 0.1823
0.1548 0.1823 0.3646
0.1548 0.6354 0.8177
0.1548 0.1823 0.8177
0.8452 0.8177 0.1823
0.5000 0.0000 0.0000
0.6518 0.3333 0.6667
0.3482 0.6667 0.3333
```

Computed properties:
D(E_F) ... 0.4901 states/eV/atom
Energy of formation from the pure elements ... -0.3816 eV/atom
Size of the total moment ... 0.0 μB/cell

***

[15]
Here is crystalline Ba3CaIn2 at its relaxed geometry from Alexandria. Energies are from PBE.

Geometry as POSCAR:
```
Ba3CaIn2
1.0
7.1525 0.0000 -2.9695
-1.2154 6.8482 -2.9275
0.1842 0.3818 10.5425
Ba Ca In
6 2 4
Direct
0.5000 0.2500 0.0000
0.0518 0.8174 0.6348
0.4170 0.6826 0.3652
0.5830 0.3174 0.6348
0.9482 0.1826 0.3652
0.5000 0.7500 0.0000
0.0000 0.2500 0.0000
0.0000 0.7500 0.0000
0.3491 0.1198 0.2396
0.8905 0.6198 0.2396
0.1095 0.3802 0.7604
0.6509 0.8802 0.7604
```

Computed properties:
D(E_F) ... 1.7845 states/eV/atom
Energy of formation from the pure elements ... -0.2727 eV/atom
Size of the total moment ... 0.0 μB/cell

***

[16]
Here is crystalline Ba2Ca2In at its relaxed geometry from Alexandria. Energies are from PBE.

Geometry as POSCAR:
```
Ba2Ca2In
1.0
-1.2226 8.3247 0.7688
-7.7550 -0.8390 -3.2470
-2.3548 -0.8863 5.8531
Ca Ba In
4 4 2
Direct
0.6509 0.1509 0.0000
0.1509 0.3491 0.0000
0.8491 0.6509 0.0000
0.3491 0.8491 0.0000
0.8201 0.3201 0.5000
0.1799 0.6799 0.5000
0.3201 0.1799 0.5000
0.6799 0.8201 0.5000
0.5000 0.5000 0.0000
0.0000 0.0000 0.0000
```

Computed properties:
D(E_F) ... 1.9366 states/eV/atom
Energy of formation from the pure elements ... -0.0610 eV/atom
Size of the total moment ... 0.0 μB/cell

***

[17]
Here is crystalline Ba2CaIn at its relaxed geometry from Alexandria. Energies are from PBE.

Geometry as POSCAR:
```
Ba2CaIn
1.0
-11.1543 -2.0104 -5.6457
-9.2064 -5.5916 -6.6566
-11.1477 -5.2310 -2.9496
In Ca Ba
1 1 2
Direct
0.7500 0.7500 0.7500
0.2500 0.2500 0.2500
0.4886 0.4886 0.4886
0.0114 0.0114 0.0114
```

Computed properties:
D(E_F) ... 1.1660 states/eV/atom
Energy of formation from the pure elements ... -0.0694 eV/atom
Size of the total moment ... 0.3 μB/cell
Energy above the lowest structure with this stoichiometry ... 177 meV/atom

***

[18]
Here is crystalline BaCaIn2 at its relaxed geometry from Alexandria. Energies are from PBE.

Geometry as POSCAR:
```
BaCaIn2
1.0
-6.2554 -2.7480 0.8826
-0.8147 -6.7884 -0.8455
3.3271 4.9360 3.4681
In Ca Ba
2 1 1
Direct
0.7798 0.2798 0.5000
0.9655 0.9655 0.0000
0.2313 0.7313 0.5000
0.5234 0.5234 0.0000
```

Computed properties:
D(E_F) ... 0.8169 states/eV/atom
Energy of formation from the pure elements ... -0.3192 eV/atom
Size of the total moment ... 0.0 μB/cell

***

[19]
Here is crystalline Ba2CaIn at its relaxed geometry from Alexandria. Energies are from PBE.

Geometry as POSCAR:
```
Ba2CaIn
1.0
-0.5817 -3.1256 4.7432
2.1856 -3.1657 -1.8180
7.4057 1.2481 1.7307
Ba In Ca
2 1 1
Direct
0.0000 0.9636 0.9464
0.5000 0.2926 0.2902
0.5000 0.5647 0.7463
0.0000 0.6791 0.5171
```

Computed properties:
D(E_F) ... 1.4221 states/eV/atom
Energy of formation from the pure elements ... -0.1443 eV/atom
Size of the total moment ... 0.0 μB/cell
Energy above the lowest structure with this stoichiometry ... 102 meV/atom

***

[20]
Here is crystalline BaCaIn2 at its relaxed geometry from Alexandria. Energies are from PBE.

Geometry as POSCAR:
```
BaCaIn2
1.0
10.9263 0.0303 0.0179
10.2036 3.9078 0.0179
10.2036 1.9017 3.4139
In Ba Ca
2 1 1
Direct
0.0059 0.0059 0.0059
0.4941 0.4941 0.4941
0.2500 0.2500 0.2500
0.7500 0.7500 0.7500
```

Computed properties:
D(E_F) ... 0.6930 states/eV/atom
Energy of formation from the pure elements ... -0.2086 eV/atom
Size of the total moment ... 0.0 μB/cell